LiCo5, relaxed, DFT PBE; total magnetization = 8.28 μB per formula unit; E above lowest polymorph = 145 meV per atom; SG = P6/mmm (191); formation enthalpy at 0 K = 5.398 kcal/mol of atoms; density of states at the Fermi level = 5.4 states/eV/cell
1.0
2.3404 -4.0537 0.0000
2.3404 4.0537 0.0000
0.0000 0.0000 4.0286
Co Li
5 1
Direct
0.5000 0.0000 0.5000
0.6667 0.3333 0.0000
0.0000 0.5000 0.5000
0.3333 0.6667 0.0000
0.5000 0.5000 0.5000
0.0000 0.0000 0.0000



BaNaAlO3, relaxed, DFT PBE; total magnetization = 0.00 μB per formula unit; formation energy from raw total energies = -2257 meV/atom; SG = C2/m (12); density of states at the Fermi level = 0.0 states/eV/cell
1.0
-5.0158 1.6851 -2.4323
-2.5880 -4.5891 -2.4811
-5.3437 -2.0969 3.7603
Na O Al Ba
2 6 2 2
Direct
0.3223 0.6777 0.5000
0.6777 0.3223 0.5000
0.7431 0.1603 0.8289
0.7365 0.7365 0.4183
0.2635 0.2635 0.5817
0.2569 0.8397 0.1711
0.1603 0.7431 0.8289
0.8397 0.2569 0.1711
0.0723 0.0723 0.7679
0.9277 0.9277 0.2321
0.3019 0.3019 0.1499
0.6981 0.6981 0.8501



PmDy4Tm5, relaxed, DFT PBE; total magnetization = 0.00 μB per formula unit; E above lowest polymorph = 246 meV per atom; SG = I4 (79); formation enthalpy at 0 K = 7.073 kcal/mol of atoms; density of states at the Fermi level = 14.0 states/eV/cell
1.0
-2.6191 5.0781 -2.5064
-0.6794 -0.3595 -7.7841
-7.7894 -0.4556 -0.5493
Tm Dy Pm
5 4 1
Direct
0.0931 0.6226 0.0890
0.8047 0.3774 0.9110
0.1821 0.9110 0.6226
0.7157 0.0890 0.3774
0.6810 0.0000 0.0000
0.1036 0.2989 0.3994
0.4025 0.3994 0.7011
0.5030 0.6006 0.2989
0.8019 0.7011 0.6006
0.2227 0.0000 0.0000



In3SbPt, relaxed, DFT PBE; total magnetization = 0.00 μB per formula unit; E above lowest polymorph = 0 meV per atom; formation energy from raw total energies = -67 meV/atom; SG = Pm-3m (221); density of states at the Fermi level = 4.0 states/eV/cell
1.0
-0.2862 2.8768 4.3424
3.3205 -3.2500 2.3719
4.0133 2.8941 -1.6528
In Pt Sb
3 1 1
Direct
0.5000 0.0000 0.0000
0.0000 0.5000 0.0000
0.0000 0.0000 0.5000
0.0000 0.0000 0.0000
0.5000 0.5000 0.5000



ReIrOs2, relaxed, DFT PBE; total magnetization = 0.00 μB per formula unit; E above lowest polymorph = 133 meV per atom; SG = C2/m (12); formation enthalpy at 0 K = 0.430 kcal/mol of atoms; density of states at the Fermi level = 3.2 states/eV/cell
1.0
4.7347 -0.0013 0.0062
3.9467 2.6156 0.0062
0.7885 0.2374 4.6883
Ir Os Re
1 2 1
Direct
0.2500 0.2500 0.2500
0.4979 0.4979 0.5050
0.0021 0.0021 0.9950
0.7500 0.7500 0.7500



HfMoH2, relaxed, DFT PBE; total magnetization = 0.00 μB per formula unit; E above lowest polymorph = 46 meV per atom; SG = I-42d (122); density of states at the Fermi level = 2.4 states/eV/cell
1.0
4.1564 0.0000 0.0000
0.0000 4.1564 0.0000
2.0782 2.0782 5.0357
H Hf Mo
4 2 2
Direct
0.8750 0.8402 0.7500
0.5902 0.1250 0.2500
0.1598 0.6250 0.2500
0.3750 0.4098 0.7500
0.0000 0.0000 0.0000
0.7500 0.2500 0.5000
0.2500 0.7500 0.5000
0.5000 0.5000 0.0000



PuBiCl, relaxed, DFT PBE; total magnetization = 5.73 μB per formula unit; E above lowest polymorph = 0 meV per atom; formation energy from raw total energies = -896 meV/atom; SG = I4mm (107); density of states at the Fermi level = 9.3 states/eV/cell
1.0
3.4103 0.0000 0.0000
0.0000 3.4103 0.0000
-1.7051 -1.7051 7.9418
Pu Cl Bi
1 1 1
Direct
0.6856 0.6856 0.3713
0.2869 0.2869 0.5737
0.0275 0.0275 0.0550



Pm2PPt, relaxed, DFT PBE; total magnetization = 0.00 μB per formula unit; E above lowest polymorph = 123 meV per atom; SG = P4/mmm (123); formation enthalpy at 0 K = -25.169 kcal/mol of atoms; density of states at the Fermi level = 1.9 states/eV/cell
1.0
-2.9402 1.7270 -1.0788
-1.7468 -3.1130 -0.2226
-2.0697 0.6803 6.7300
Pt P Pm
1 1 2
Direct
0.5000 0.5000 0.5000
0.5000 0.5000 0.0000
0.0000 0.0000 0.2407
0.0000 0.0000 0.7593



RbAgBr2Cl, relaxed, DFT PBE; total magnetization = 0.19 μB per formula unit; E above lowest polymorph = 210 meV per atom; formation energy from raw total energies = -712 meV/atom; SG = P4/mmm (123); density of states at the Fermi level = 6.2 states/eV/cell
1.0
5.0929 0.0000 0.0000
0.0000 5.0929 0.0000
0.0000 0.0000 9.0972
Br Cl Ag Rb
2 1 1 1
Direct
0.5000 0.0000 0.0000
0.0000 0.5000 0.0000
0.5000 0.5000 0.5000
0.0000 0.0000 0.0000
0.0000 0.0000 0.5000



CsKNa2, relaxed, DFT PBE; total magnetization = 0.00 μB per formula unit; E above lowest polymorph = 16 meV per atom; SG = P4/mmm (123); formation enthalpy at 0 K = 0.855 kcal/mol of atoms; density of states at the Fermi level = 2.3 states/eV/cell
1.0
-2.8402 3.1523 2.3341
-3.5438 -5.3997 2.9804
4.5426 0.0400 5.4737
K Na Cs
1 2 1
Direct
0.5000 0.0000 0.0000
0.0000 0.0000 0.5000
0.0000 0.5000 0.0000
0.5000 0.5000 0.5000



Dy3Tm2Rh2, relaxed, DFT PBE; total magnetization = 0.00 μB per formula unit; SG = C2/m (12); formation enthalpy at 0 K = -13.724 kcal/mol of atoms; density of states at the Fermi level = 5.9 states/eV/cell
1.0
3.7907 0.0000 0.0000
-1.8954 5.9441 -0.4256
0.0000 -3.2846 8.1805
Rh Tm Dy
2 2 3
Direct
0.8201 0.6402 0.7614
0.1799 0.3598 0.2386
0.1673 0.3345 0.8094
0.8327 0.6655 0.1906
0.5000 0.0000 0.0000
0.3850 0.7699 0.5701
0.6150 0.2301 0.4299



YTa2Os, relaxed, DFT PBE; total magnetization = 0.00 μB per formula unit; E above lowest polymorph = 168 meV per atom; SG = P2/m (10); formation enthalpy at 0 K = 3.915 kcal/mol of atoms; density of states at the Fermi level = 3.9 states/eV/cell
1.0
4.5865 0.0000 0.0000
0.0000 3.0490 0.0026
0.0000 1.2499 5.4518
Y Ta Os
1 2 1
Direct
0.5000 0.2500 0.2500
0.0000 0.9642 0.9764
0.0000 0.5358 0.5236
0.5000 0.7500 0.7500